Crystalline KGe at its relaxed geometry, computed with PBE.

Values from the calculation:
The value obtained for the density of states at the Fermi level is 2.454 states/eV/cell.

a b c (Å): 4.0144 5.7348 10.9819
angles (deg): 90.00 90.00 90.00
Space group Imma (No. 74)
Inequivalent atoms, fractional coordinates:
K 0.0000 0.2500 0.0926
Ge 0.0000 0.2500 0.6833

---

Crystalline Tb2DyCu at its relaxed geometry, computed with PBE.

Values from the calculation:
The value obtained for the density of states at the Fermi level is 18.244 states/eV/cell.

a b c (Å): 6.8446 9.7259 6.4946
angles (deg): 90.00 90.00 90.00
Space group Pnma (No. 62)
Inequivalent atoms, fractional coordinates:
Tb 0.1920 0.0596 0.1848
Dy 0.0195 0.2500 0.6330
Cu 0.0961 0.7500 0.9489

---

| no. | E_form (eV/atom) | E_tot (eV per atom) |
| --- | --- | --- |
| 1 | -0.141 | -3.00 |
| 2 | -0.100 | -4.59 |